# PaMnVS6, relaxed, DFT GGA-PBE
# raw formation energy = -869 meV/atom
# space-group type = P312, No. 149
# crystal system = trigonal
data_PaMnVS6
_cell_length_a 6.085
_cell_length_b 6.085
_cell_length_c 5.859
_cell_angle_alpha 90.00
_cell_angle_beta 90.00
_cell_angle_gamma 120.00
_symmetry_space_group_name_H-M 'P 1'
_symmetry_Int_Tables_number 1
loop_
_symmetry_equiv_pos_as_xyz
'x,y,z'
loop_
_atom_site_label
_atom_site_type_symbol
_atom_site_fract_x
_atom_site_fract_y
_atom_site_fract_z
_atom_site_occupancy
Pa1 Pa 0.000 0.000 0.000 1
Mn1 Mn 0.667 0.333 0.500 1
V1 V 0.333 0.667 0.500 1
S1 S 0.000 0.350 0.726 1
S2 S 0.000 0.650 0.274 1
S3 S 0.350 0.000 0.726 1
S4 S 0.350 0.350 0.274 1
S5 S 0.650 0.000 0.274 1
S6 S 0.650 0.650 0.726 1

***

# CaUSe3, relaxed, DFT GGA-PBE
# ΔE to the lowest computed polymorph = 0.0 meV/atom
# raw formation energy = -1466 meV/atom
# space-group type = Pnma, No. 62
# crystal system = orthorhombic
data_CaUSe3
_cell_length_a 7.796
_cell_length_b 4.142
_cell_length_c 16.062
_cell_angle_alpha 90.00
_cell_angle_beta 90.00
_cell_angle_gamma 90.00
_symmetry_space_group_name_H-M 'P 1'
_symmetry_Int_Tables_number 1
loop_
_symmetry_equiv_pos_as_xyz
'x,y,z'
loop_
_atom_site_label
_atom_site_type_symbol
_atom_site_fract_x
_atom_site_fract_y
_atom_site_fract_z
_atom_site_occupancy
Ca1 Ca 0.099 0.250 0.216 1
Ca2 Ca 0.401 0.750 0.716 1
Ca3 Ca 0.599 0.250 0.284 1
Ca4 Ca 0.901 0.750 0.784 1
U1 U 0.241 0.750 0.460 1
U2 U 0.259 0.250 0.960 1
U3 U 0.741 0.750 0.040 1
U4 U 0.759 0.250 0.540 1
Se1 Se 0.012 0.250 0.405 1
Se2 Se 0.125 0.750 0.065 1
Se3 Se 0.179 0.250 0.786 1
Se4 Se 0.321 0.750 0.286 1
Se5 Se 0.375 0.250 0.565 1
Se6 Se 0.488 0.750 0.905 1
Se7 Se 0.512 0.250 0.095 1
Se8 Se 0.625 0.750 0.435 1
Se9 Se 0.679 0.250 0.714 1
Se10 Se 0.821 0.750 0.214 1
Se11 Se 0.875 0.250 0.935 1
Se12 Se 0.988 0.750 0.595 1

***

# Cs2MgHgTe, relaxed, DFT GGA-PBE
# raw formation energy = -235 meV/atom
# space-group type = P4/mmm, No. 123
# crystal system = tetragonal
data_Cs2MgHgTe
_cell_length_a 6.690
_cell_length_b 6.690
_cell_length_c 5.507
_cell_angle_alpha 90.00
_cell_angle_beta 90.00
_cell_angle_gamma 90.00
_symmetry_space_group_name_H-M 'P 1'
_symmetry_Int_Tables_number 1
loop_
_symmetry_equiv_pos_as_xyz
'x,y,z'
loop_
_atom_site_label
_atom_site_type_symbol
_atom_site_fract_x
_atom_site_fract_y
_atom_site_fract_z
_atom_site_occupancy
Cs1 Cs 0.000 0.500 0.000 1
Cs2 Cs 0.500 0.000 0.000 1
Mg1 Mg 0.000 0.000 0.500 1
Hg1 Hg 0.000 0.000 0.000 1
Te1 Te 0.500 0.500 0.500 1

***

# MgAgPt2, relaxed, DFT GGA-PBE
# space-group type = P2/m, No. 10
# E_form = -0.431 eV/atom
# crystal system = monoclinic
data_MgAgPt2
_cell_length_a 2.881
_cell_length_b 3.934
_cell_length_c 5.746
_cell_angle_alpha 90.00
_cell_angle_beta 90.19
_cell_angle_gamma 90.00
_symmetry_space_group_name_H-M 'P 1'
_symmetry_Int_Tables_number 1
loop_
_symmetry_equiv_pos_as_xyz
'x,y,z'
loop_
_atom_site_label
_atom_site_type_symbol
_atom_site_fract_x
_atom_site_fract_y
_atom_site_fract_z
_atom_site_occupancy
Mg1 Mg 0.000 0.000 0.000 1
Ag1 Ag 0.000 0.000 0.500 1
Pt1 Pt 0.500 0.500 0.242 1
Pt2 Pt 0.500 0.500 0.758 1

***

The records above give, respectively, DOS(E_F) values of 6.996, 24.480, 0.911, 1.073 states/eV per cell.
The records above give, respectively, spin magnetization values of 5.002, 2.000, 0.000, 0.000 μB/f.u..
The records above give, respectively, mass density values of 4678, 6596, 4166, 13321 kg/m³.